Record 1
DFT (GGA+U) results for a geometry-optimized PtWOF2 structure.

a = 4.2787 Å, b = 4.2787 Å, c = 4.1800 Å
α = 90.00°, β = 90.00°, γ = 90.00°
Last column: nearest neighbours and their distance in Å.
Fractional positions:
1 O 0.0000 0.0000 0.5000  2 Pt 2.09
2 W 0.5000 0.5000 0.5000  8 F 2.99, 4 O 3.03
3 Pt 0.0000 0.0000 0.0000  2 O 2.09, 4 F 2.14
4 F 0.0000 0.5000 0.0000  2 Pt 2.14
5 F 0.5000 0.0000 0.0000  2 Pt 2.14

Properties
calculated total energy	-4.474	eV per atom
calculated volume	15.31	A^3/atom

***

Record 2
DFT (GGA+U) results for a geometry-optimized PtWOF2 structure.

a = 4.2538 Å, b = 4.2538 Å, c = 3.9835 Å
α = 90.00°, β = 90.00°, γ = 90.00°
Last column: nearest neighbours and their distance in Å.
Fractional positions:
1 O 0.0000 0.0000 0.5000  2 W 1.99
2 W 0.0000 0.0000 0.0000  2 O 1.99, 4 F 2.13
3 Pt 0.5000 0.5000 0.5000  8 F 2.91, 4 O 3.01
4 F 0.0000 0.5000 0.0000  2 W 2.13
5 F 0.5000 0.0000 0.0000  2 W 2.13

Properties
calculated total energy	-5.232	eV per atom
calculated volume	14.42	A^3/atom